Entry 1:
Crystalline Y2W at its relaxed geometry. Source: OQMD via LeMat-Bulk, functional PBE.

Lattice parameters (Å, degrees): 8.273 8.273 8.273 60.00 60.00 60.00
Element x y z (fractional)
Y 0.000 0.000 0.000
Y 0.000 0.000 0.500
Y 0.000 0.500 0.000
Y 0.500 0.000 0.000
W 0.125 0.125 0.125
W 0.875 0.875 0.875

Values from the calculation:
Symmetry: No. 227
Distance to the lowest polymorph of the same formula, eV/f.u.: 2.71
Uncorrected energy, eV/atom: -6.368
Magnetization, μB per formula unit: 0.26
Energy of formation from the pure elements, eV per atom: 2.262


Entry 2:
Crystalline Er2ScZn3CuAu2 at its relaxed geometry. Source: OQMD via LeMat-Bulk, functional PBE.

Lattice parameters (Å, degrees): 3.865 7.165 7.165 119.54 90.00 90.00
Element x y z (fractional)
Er 0.000 0.202 0.798
Er 0.000 0.798 0.202
Sc 0.000 0.396 0.396
Zn 0.500 0.035 0.035
Zn 0.500 0.561 0.793
Zn 0.500 0.793 0.561
Cu 0.000 0.793 0.793
Au 0.500 0.139 0.462
Au 0.500 0.462 0.139

Values from the calculation:
Symmetry: No. 38
Uncorrected energy, eV/atom: -3.848
Magnetization, μB per formula unit: 0.01
Energy of formation from the pure elements, eV per atom: -0.570


Entry 3:
Crystalline TbDyPd2 at its relaxed geometry. Source: OQMD via LeMat-Bulk, functional PBE.

Lattice parameters (Å, degrees): 4.481 5.703 6.909 90.00 90.00 90.00
Element x y z (fractional)
Tb 0.000 0.109 0.000
Tb 0.000 0.891 0.500
Dy 0.500 0.391 0.638
Dy 0.500 0.609 0.138
Pd 0.000 0.405 0.362
Pd 0.000 0.595 0.862
Pd 0.500 0.096 0.277
Pd 0.500 0.904 0.777

Values from the calculation:
Symmetry: No. 26
Uncorrected energy, eV/atom: -5.813
Magnetization, μB per formula unit: 0.01
Energy of formation from the pure elements, eV per atom: -0.917


> Which value of magnetization does entry 1 give?

0.26 μB per formula unit


> What is the magnetization in the third record?

0.01 μB per formula unit